Run P
CsTl3Pd3: relaxed, PBE-GGA.

abc: 7.8364 7.8364 21.1608
angles: 90.00 90.00 120.00
Space group R-3m (No. 166, hexagonal axes)
Symmetry-distinct sites (fractional):
Cs  0.0000  0.0000  0.1022
Tl  0.0318  0.5159  0.0969
Pd  0.0937  0.5469  0.3407

Calculated values
Spin magnetization in μB per formula unit: 0.00
Calculated density in g cm⁻³: 9.43
Calculated volume in Å³ per atom: 26.79

---

Run Q
CsTl3Pd3: relaxed, PBE-GGA.

abc: 7.5196 7.5196 27.2289
angles: 90.00 90.00 120.00
Space group R-3 (No. 148, hexagonal axes)
Symmetry-distinct sites (fractional):
Cs  0.0000  0.0000  0.1581
Tl  0.0115  0.4273  0.0568
Pd  0.0052  0.2232  0.9584

Calculated values
Spin magnetization in μB per formula unit: 0.00
Calculated density in g cm⁻³: 7.96
Calculated volume in Å³ per atom: 31.75

---

Q: What are the energies relative to the best structure? A: run P 51; run Q 0, in meV/atom.

---

Run P
Cs2VPd: relaxed, PBE-GGA.

abc: 8.0172 8.0172 8.0172
angles: 90.00 90.00 90.00
Space group Fm-3m (No. 225)
Symmetry-distinct sites (fractional):
Cs  0.2500  0.2500  0.2500
V  0.0000  0.0000  0.0000
Pd  0.0000  0.0000  0.5000

Calculated values
Spin magnetization in μB per formula unit: 4.94
Calculated density in g cm⁻³: 5.45
Calculated volume in Å³ per atom: 32.21

---

Run Q
Cs2VPd: relaxed, PBE-GGA.

abc: 13.3172 13.3172 4.9383
angles: 90.00 90.00 90.00
Space group I-42d (No. 122)
Symmetry-distinct sites (fractional):
Cs  0.0748  0.2500  0.1250
V  0.0000  0.0000  0.5000
Pd  0.0000  0.0000  0.0000

Calculated values
Spin magnetization in μB per formula unit: 4.28
Calculated density in g cm⁻³: 3.21
Calculated volume in Å³ per atom: 54.74

---

Q: What are the energies relative to the best structure? A: run P 491; run Q 0, in meV/atom.

---

Run P
CsV3Pd: relaxed, PBE-GGA.

abc: 4.7547 4.7547 4.7547
angles: 90.00 90.00 90.00
Space group Pm-3m (No. 221)
Symmetry-distinct sites (fractional):
Cs  0.0000  0.0000  0.0000
V  0.0000  0.0000  0.5000
Pd  0.5000  0.5000  0.5000

Calculated values
Spin magnetization in μB per formula unit: 3.85
Calculated density in g cm⁻³: 6.06
Calculated volume in Å³ per atom: 21.50

---

Run Q
CsV3Pd: relaxed, PBE-GGA.

abc: 5.0574 5.0574 5.0574
angles: 90.00 90.00 90.00
Space group Pm-3m (No. 221)
Symmetry-distinct sites (fractional):
Cs  0.0000  0.0000  0.0000
V  0.0000  0.5000  0.5000
Pd  0.5000  0.5000  0.5000

Calculated values
Spin magnetization in μB per formula unit: 8.45
Calculated density in g cm⁻³: 5.03
Calculated volume in Å³ per atom: 25.87

---

Q: What are the energies relative to the best structure? A: run P 1228; run Q 0, in meV/atom.

---

Run P
CsPdW3: relaxed, PBE-GGA.

abc: 5.0004 5.0004 5.0004
angles: 90.00 90.00 90.00
Space group Pm-3m (No. 221)
Symmetry-distinct sites (fractional):
Cs  0.0000  0.0000  0.0000
Pd  0.5000  0.5000  0.5000
W  0.0000  0.5000  0.5000

Calculated values
Spin magnetization in μB per formula unit: 4.69
Calculated density in g cm⁻³: 10.50
Calculated volume in Å³ per atom: 25.01

---

Run Q
CsPdW3: relaxed, PBE-GGA.

abc: 4.8596 4.8596 4.8596
angles: 90.00 90.00 90.00
Space group Pm-3m (No. 221)
Symmetry-distinct sites (fractional):
Cs  0.0000  0.0000  0.0000
Pd  0.5000  0.5000  0.5000
W  0.0000  0.0000  0.5000

Calculated values
Spin magnetization in μB per formula unit: 0.00
Calculated density in g cm⁻³: 11.44
Calculated volume in Å³ per atom: 22.95

---

Q: What are the energies relative to the best structure? A: run P 0; run Q 1204, in meV/atom.

---

Run P
CsYPd3: relaxed, PBE-GGA.

abc: 5.3626 5.3626 5.3626
angles: 90.00 90.00 90.00
Space group Pm-3m (No. 221)
Symmetry-distinct sites (fractional):
Cs  0.0000  0.0000  0.0000
Y  0.5000  0.5000  0.5000
Pd  0.0000  0.5000  0.5000

Calculated values
Spin magnetization in μB per formula unit: 0.00
Calculated density in g cm⁻³: 5.83
Calculated volume in Å³ per atom: 30.84

---

Run Q
CsYPd3: relaxed, PBE-GGA.

abc: 5.2538 5.2538 5.2538
angles: 90.00 90.00 90.00
Space group Pm-3m (No. 221)
Symmetry-distinct sites (fractional):
Cs  0.0000  0.0000  0.0000
Y  0.5000  0.5000  0.5000
Pd  0.0000  0.0000  0.5000

Calculated values
Spin magnetization in μB per formula unit: 0.00
Calculated density in g cm⁻³: 6.20
Calculated volume in Å³ per atom: 29.00

---

Q: What are the energies relative to the best structure? A: run P 0; run Q 789, in meV/atom.

---

Run P
CsZrPd3: relaxed, PBE-GGA.

abc: 5.1926 5.1926 5.1926
angles: 90.00 90.00 90.00
Space group Pm-3m (No. 221)
Symmetry-distinct sites (fractional):
Cs  0.0000  0.0000  0.0000
Zr  0.5000  0.5000  0.5000
Pd  0.0000  0.5000  0.5000

Calculated values
Spin magnetization in μB per formula unit: 0.00
Calculated density in g cm⁻³: 6.44
Calculated volume in Å³ per atom: 28.00

---

Run Q
CsZrPd3: relaxed, PBE-GGA.

abc: 5.1569 5.1569 5.1569
angles: 90.00 90.00 90.00
Space group Pm-3m (No. 221)
Symmetry-distinct sites (fractional):
Cs  0.0000  0.0000  0.0000
Zr  0.5000  0.5000  0.5000
Pd  0.0000  0.0000  0.5000

Calculated values
Spin magnetization in μB per formula unit: 2.06
Calculated density in g cm⁻³: 6.58
Calculated volume in Å³ per atom: 27.43

---

Q: What are the energies relative to the best structure? A: run P 0; run Q 1193, in meV/atom.

---

Run P
Cs3PmS3: relaxed, PBE-GGA.

abc: 9.6081 14.8609 8.6207
angles: 90.00 100.84 90.00
Space group C2/m (No. 12)
Symmetry-distinct sites (fractional):
Cs  0.0000  0.1846  0.0000
Cs  0.0000  0.2504  0.5000
Cs  0.1259  0.5000  0.8624
Pm  0.1798  0.0000  0.6413
S  0.0931  0.0000  0.3191
S  0.1889  0.3554  0.2284

Calculated values
Spin magnetization in μB per formula unit: 0.01
Calculated density in g cm⁻³: 3.52
Calculated volume in Å³ per atom: 43.18

---

Run Q
Cs3PmS3: relaxed, PBE-GGA.

abc: 8.7524 15.0037 11.2790
angles: 90.00 127.50 90.00
Space group P2_1/c (No. 14)
Symmetry-distinct sites (fractional):
Cs  0.1150  0.1238  0.4746
Cs  0.1673  0.1138  0.8820
Cs  0.3234  0.6693  0.5365
Pm  0.4500  0.0691  0.3379
S  0.1838  0.1958  0.2001
S  0.3281  0.5924  0.8615
S  0.3590  0.5430  0.2713

Calculated values
Spin magnetization in μB per formula unit: 0.00
Calculated density in g cm⁻³: 3.62
Calculated volume in Å³ per atom: 41.97

---

Q: What are the energies relative to the best structure? A: run P 0; run Q 9, in meV/atom.

---

Run P
Cs3PmSe3: relaxed, PBE-GGA.

abc: 9.0754 15.3696 11.6957
angles: 90.00 127.50 90.00
Space group P2_1/c (No. 14)
Symmetry-distinct sites (fractional):
Cs  0.1144  0.1225  0.4723
Cs  0.1687  0.1136  0.8855
Cs  0.3312  0.6722  0.5420
Pm  0.4468  0.0674  0.3366
Se  0.1762  0.1955  0.1957
Se  0.3287  0.5985  0.8621
Se  0.3605  0.5425  0.2739

Calculated values
Spin magnetization in μB per formula unit: 0.00
Calculated density in g cm⁻³: 4.01
Calculated volume in Å³ per atom: 46.22

---

Run Q
Cs3PmSe3: relaxed, PBE-GGA.

abc: 9.9586 15.3195 8.8958
angles: 90.00 100.89 90.00
Space group C2/m (No. 12)
Symmetry-distinct sites (fractional):
Cs  0.0000  0.1813  0.0000
Cs  0.0000  0.2490  0.5000
Cs  0.1217  0.5000  0.8630
Pm  0.1792  0.0000  0.6414
Se  0.0951  0.0000  0.3149
Se  0.1892  0.3532  0.2258

Calculated values
Spin magnetization in μB per formula unit: 0.00
Calculated density in g cm⁻³: 3.89
Calculated volume in Å³ per atom: 47.60

---

Q: What are the energies relative to the best structure? A: run P 8; run Q 0, in meV/atom.

---

Run P
CsPm4Te6: relaxed, PBE-GGA.

abc: 9.6771 9.6771 4.6576
angles: 90.00 90.00 120.00
Space group P-6m2 (No. 187)
Symmetry-distinct sites (fractional):
Cs  0.0000  0.0000  0.0000
Pm  0.3333  0.6667  0.0000
Pm  0.4074  0.2037  0.5000
Te  0.1788  0.3576  0.5000
Te  0.5320  0.0640  0.0000

Calculated values
Spin magnetization in μB per formula unit: 1.00
Calculated density in g cm⁻³: 6.50
Calculated volume in Å³ per atom: 34.34

---

Run Q
CsPm4Te6: relaxed, PBE-GGA.

abc: 4.5540 15.0703 23.9875
angles: 90.00 90.00 90.00
Space group Cmcm (No. 63)
Symmetry-distinct sites (fractional):
Cs  0.0000  0.1626  0.2500
Pm  0.0000  0.0946  0.6288
Pm  0.0000  0.3662  0.5390
Te  0.0000  0.0000  0.0000
Te  0.0000  0.1415  0.7500
Te  0.0000  0.2697  0.0818
Te  0.0000  0.4601  0.6517

Calculated values
Spin magnetization in μB per formula unit: 0.00
Calculated density in g cm⁻³: 5.97
Calculated volume in Å³ per atom: 37.42

---

Q: What are the energies relative to the best structure? A: run P 163; run Q 0, in meV/atom.

---

Run P
CsPr4S6: relaxed, PBE-GGA.

abc: 7.9615 7.9615 9.9936
angles: 90.00 90.00 90.00
Space group I-42m (No. 121)
Symmetry-distinct sites (fractional):
Cs  0.0000  0.0000  0.0000
Pr  0.1937  0.1937  0.6078
S  0.0000  0.5000  0.0000
S  0.1480  0.1480  0.3201

Calculated values
Spin magnetization in μB per formula unit: 0.00
Calculated density in g cm⁻³: 4.66
Calculated volume in Å³ per atom: 28.79

---

Run Q
CsPr4S6: relaxed, PBE-GGA.

abc: 4.1606 13.9109 22.1580
angles: 90.00 90.00 90.00
Space group Cmcm (No. 63)
Symmetry-distinct sites (fractional):
Cs  0.0000  0.1480  0.2500
Pr  0.0000  0.1037  0.6331
Pr  0.0000  0.3698  0.5409
S  0.0000  0.0000  0.0000
S  0.0000  0.1567  0.7500
S  0.0000  0.2701  0.0780
S  0.0000  0.4707  0.6474

Calculated values
Spin magnetization in μB per formula unit: 0.00
Calculated density in g cm⁻³: 4.60
Calculated volume in Å³ per atom: 29.15

---

Q: What are the energies relative to the best structure? A: run P 279; run Q 0, in meV/atom.